(1)
Computed, not measured: NbSiGe after structural relaxation at the PBEsol level of DFT.

It has space group P3_212 (No. 153), with a = 4.8575 Å, b = 4.8575 Å, c = 6.6815 Å, α = 90.00°, β = 90.00° and γ = 120.00°. Symmetry generates all atoms from Nb at (0.1687, 0.3373, 0.3333), Si at (0.5053, 0.0107, 0.3333) and Ge at (0.3422, 0.1711, 0.0000).

For the formation energy from raw total energies, the calculation gives -1.6 eV/f.u.


(2)
Computed, not measured: Ge2Pb2O after structural relaxation at the PBEsol level of DFT.

It has space group I4/mmm (No. 139), with a = 5.8802 Å, b = 5.8802 Å, c = 6.7143 Å, α = 90.00°, β = 90.00° and γ = 90.00°. Symmetry generates all atoms from Ge at (0.0000, 0.0000, 0.2290), Pb at (0.0000, 0.5000, 0.2500) and O at (0.0000, 0.0000, 0.5000).

For the formation energy from raw total energies, the calculation gives -0.6 eV/f.u.


(3)
Computed, not measured: CoReTc2 after structural relaxation at the PBEsol level of DFT.

It has space group I-4m2 (No. 119), with a = 3.7652 Å, b = 3.7652 Å, c = 7.4171 Å, α = 90.00°, β = 90.00° and γ = 90.00°. Symmetry generates all atoms from Co at (0.0000, 0.0000, 0.0000), Re at (0.0000, 0.5000, 0.2500), Tc at (0.0000, 0.0000, 0.5000) and Tc at (0.0000, 0.5000, 0.7500).

The calculation puts the formation enthalpy at 0 K at 8 kJ/mol of formula units.


(4)
Computed, not measured: LiV3Zn2O8 after structural relaxation at the PBEsol level of DFT.

It has space group R3m (No. 160, hexagonal axes), with a = 5.6761 Å, b = 5.6761 Å, c = 14.9061 Å, α = 90.00°, β = 90.00° and γ = 120.00°. Symmetry generates all atoms from Li at (0.0000, 0.0000, 0.0000), V at (0.1788, 0.3577, 0.8406), Zn at (0.0000, 0.0000, 0.3864), Zn at (0.0000, 0.0000, 0.6365), O at (0.0000, 0.0000, 0.2584), O at (0.0000, 0.0000, 0.7680), O at (0.0268, 0.5134, 0.7638) and O at (0.1765, 0.3529, 0.5744).

For the formation energy from raw total energies, the calculation gives -29.5 eV/f.u.


Number 1: Fermi-level density of states 0.43 states/eV/atom. Number 2: Fermi-level density of states 0.52 states/eV/atom. Number 3: Fermi-level density of states 0.87 states/eV/atom. Number 4: Fermi-level density of states 0.17 states/eV/atom.